Density functional theory data (PBE-GGA) for an optimized crystal structure of VRu4.

abc: 2.8094 4.5625 22.1558
angles: 90.00 90.00 90.00
Space group Fmmm (No. 69)
Unique sites:
V  0.0000  0.0000  0.0000 [4 per cell]
Ru  0.0000  0.0000  0.2002 [8 per cell]
Ru  0.0000  0.0000  0.4062 [8 per cell]

Properties
offset from the most stable computed form: 0.0000 eV per atom
ΔE_f: 27.41 kJ/mol of atoms
N(E_F): 1.325 states/eV per atom
calculated density: 10.65 g cm⁻³
M_tot: 1.3 μB/f.u.
V: 14.20 Å³ per atom

***

Density functional theory data (PBE-GGA) for an optimized crystal structure of VRu.

abc: 6.5723 7.7426 9.3936
angles: 90.00 90.00 90.00
Space group Fddd (No. 70, origin choice 2)
Unique sites:
V  0.1250  0.3119  0.1250 [16 per cell]
Ru  0.0730  0.3750  0.8750 [16 per cell]

Properties
ΔE_f: 24.94 kJ/mol of atoms
N(E_F): 0.787 states/eV per atom
calculated density: 8.45 g cm⁻³
M_tot: 0.0 μB/f.u.
V: 14.94 Å³ per atom

***

Density functional theory data (PBE-GGA) for an optimized crystal structure of VRu.

abc: 5.4238 5.4238 5.4238
angles: 90.00 90.00 90.00
Space group F-43m (No. 216)
Unique sites:
V  0.0000  0.0000  0.0000 [4 per cell]
Ru  0.2500  0.2500  0.7500 [4 per cell]

Properties
ΔE_f: 109.66 kJ/mol of atoms
N(E_F): 0.670 states/eV per atom
calculated density: 6.33 g cm⁻³
M_tot: 0.9 μB/f.u.
V: 19.94 Å³ per atom

***

Density functional theory data (PBE-GGA) for an optimized crystal structure of V5Ru2.

abc: 2.7506 8.4426 8.8228
angles: 83.30 82.11 85.99
Space group P1 (No. 1)
Unique sites:
V  0.0000  0.0000  0.0000 [1 per cell]
V  0.9995  0.3303  0.5306 [1 per cell]
V  0.0584  0.4186  0.7946 [1 per cell]
V  0.0586  0.9176  0.2953 [1 per cell]
V  0.1173  0.5058  0.0590 [1 per cell]
V  0.1165  0.8364  0.5906 [1 per cell]
V  0.3192  0.5540  0.3333 [1 per cell]
V  0.4152  0.7686  0.8511 [1 per cell]
V  0.7023  0.0677  0.7390 [1 per cell]
V  0.7977  0.2816  0.2560 [1 per cell]
Ru  0.4661  0.0837  0.4647 [1 per cell]
Ru  0.5182  0.2484  0.0029 [1 per cell]
Ru  0.5993  0.5880  0.5861 [1 per cell]
Ru  0.6510  0.7523  0.1252 [1 per cell]

Properties
ΔE_f: 4.75 kJ/mol of atoms
N(E_F): 1.073 states/eV per atom
calculated density: 7.54 g cm⁻³
M_tot: 0.0 μB/f.u.
V: 14.38 Å³ per atom

***

Density functional theory data (PBE-GGA) for an optimized crystal structure of VRu4.

abc: 4.3796 4.3796 4.3796
angles: 90.00 90.00 90.00
Space group Pm-3m (No. 221)
Unique sites:
V  0.0000  0.0000  0.0000 [1 per cell]
Ru  0.0000  0.0000  0.5000 [3 per cell]
Ru  0.5000  0.5000  0.5000 [1 per cell]

Properties
offset from the most stable computed form: 1.0843 eV per atom
ΔE_f: 132.03 kJ/mol of atoms
N(E_F): 1.742 states/eV per atom
calculated density: 9.00 g cm⁻³
M_tot: 1.8 μB/f.u.
V: 16.80 Å³ per atom

***

Density functional theory data (PBE-GGA) for an optimized crystal structure of VRu.

abc: 4.9454 4.9454 4.9454
angles: 90.00 90.00 90.00
Space group Fm-3m (No. 225)
Unique sites:
V  0.0000  0.0000  0.0000 [4 per cell]
Ru  0.0000  0.0000  0.5000 [4 per cell]

Properties
ΔE_f: 46.39 kJ/mol of atoms
N(E_F): 0.952 states/eV per atom
calculated density: 8.35 g cm⁻³
M_tot: 0.0 μB/f.u.
V: 15.12 Å³ per atom

***

Density functional theory data (PBE-GGA) for an optimized crystal structure of V5Ru3.

abc: 5.9934 8.4752 4.2544
angles: 90.00 90.00 90.00
Space group Cmmm (No. 65)
Unique sites:
V  0.0000  0.0000  0.0000 [2 per cell]
V  0.2429  0.0000  0.5000 [4 per cell]
V  0.2500  0.2500  0.0000 [4 per cell]
Ru  0.0000  0.2521  0.5000 [4 per cell]
Ru  0.0000  0.5000  0.0000 [2 per cell]

Properties
ΔE_f: -29.72 kJ/mol of atoms
N(E_F): 0.721 states/eV per atom
calculated density: 8.57 g cm⁻³
M_tot: 0.0 μB/f.u.
V: 13.51 Å³ per atom

***

Density functional theory data (PBE-GGA) for an optimized crystal structure of VRu.

abc: 4.9803 4.9803 4.8285
angles: 90.00 90.00 90.00
Space group P4_2/mnm (No. 136)
Unique sites:
V  0.2064  0.2064  0.0000 [4 per cell]
Ru  0.2057  0.2057  0.5000 [4 per cell]

Properties
ΔE_f: 40.32 kJ/mol of atoms
N(E_F): 1.169 states/eV per atom
calculated density: 8.43 g cm⁻³
M_tot: 0.0 μB/f.u.
V: 14.97 Å³ per atom

***

Density functional theory data (PBE-GGA) for an optimized crystal structure of VRu.

abc: 5.3061 8.0022 2.7095
angles: 90.00 106.69 90.00
Space group C2/m (No. 12)
Unique sites:
V  0.0000  0.2404  0.0000 [4 per cell]
Ru  0.2349  0.5000  0.4123 [4 per cell]

Properties
ΔE_f: -13.15 kJ/mol of atoms
N(E_F): 1.112 states/eV per atom
calculated density: 9.16 g cm⁻³
M_tot: 0.0 μB/f.u.
V: 13.77 Å³ per atom

***

Density functional theory data (PBE-GGA) for an optimized crystal structure of V7Ru.

abc: 4.2292 4.2292 11.9908
angles: 90.00 90.00 90.00
Space group I4/mmm (No. 139)
Unique sites:
V  0.0000  0.0000  0.0000 [2 per cell]
V  0.0000  0.0000  0.2453 [4 per cell]
V  0.0000  0.5000  0.1253 [8 per cell]
Ru  0.0000  0.0000  0.5000 [2 per cell]

Properties
ΔE_f: -17.12 kJ/mol of atoms
N(E_F): 1.175 states/eV per atom
calculated density: 7.09 g cm⁻³
M_tot: 0.0 μB/f.u.
V: 13.40 Å³ per atom

***

Density functional theory data (PBE-GGA) for an optimized crystal structure of VRu.

abc: 2.9809 4.2319 8.6320
angles: 90.00 90.00 90.00
Space group Imma (No. 74)
Unique sites:
V  0.0000  0.2500  0.1328 [4 per cell]
Ru  0.0000  0.2500  0.6128 [4 per cell]

Properties
ΔE_f: -21.70 kJ/mol of atoms
N(E_F): 0.980 states/eV per atom
calculated density: 9.27 g cm⁻³
M_tot: 0.0 μB/f.u.
V: 13.61 Å³ per atom

***

Density functional theory data (PBE-GGA) for an optimized crystal structure of VRu4.

abc: 4.9499 7.4769 8.6158
angles: 90.00 90.00 90.00
Space group Fmmm (No. 69)
Unique sites:
V  0.0000  0.0000  0.0000 [4 per cell]
Ru  0.0000  0.1556  0.5000 [8 per cell]
Ru  0.2500  0.2500  0.2500 [8 per cell]

Properties
offset from the most stable computed form: 0.3150 eV per atom
ΔE_f: 57.80 kJ/mol of atoms
N(E_F): 1.385 states/eV per atom
calculated density: 9.48 g cm⁻³
M_tot: 0.0 μB/f.u.
V: 15.94 Å³ per atom